1.
# CsAc2Sm

A relaxed CsAc2Sm crystal (PBE, Alexandria via LeMat-Bulk).

Symmetry: No. 166
Electronic total energy, eV per cell: -12.91
Total magnetization, μB per atom: 0.000
Formation energy, eV/f.u.: 0.9

abc: 3.964 3.964 14.377
angles: 82.08 82.08 60.00
Atoms (fractional coordinates):
1 Cs 0.000 0.000 0.000
2 Ac 0.097 0.097 0.710
3 Ac 0.903 0.903 0.290
4 Sm 0.500 0.500 0.500



2.
# Cs4AcSm3Te8

A relaxed Cs4AcSm3Te8 crystal (PBE, Alexandria via LeMat-Bulk).

Symmetry: No. 166
Electronic total energy, eV per cell: -69.62
Total magnetization, μB per atom: 0.000
Formation energy without anion corrections, kJ per mole of atoms: -137.5

abc: 9.409 10.473 9.409
angles: 116.71 120.00 90.00
Atoms (fractional coordinates):
1 Cs 0.500 0.000 0.000
2 Cs 0.500 0.000 0.500
3 Cs 0.000 0.000 0.000
4 Cs 0.000 0.000 0.500
5 Ac 0.000 0.500 0.000
6 Sm 0.500 0.500 0.000
7 Sm 0.500 0.500 0.500
8 Sm 0.000 0.500 0.500
9 Te 0.238 0.696 0.958
10 Te 0.238 0.696 0.477
11 Te 0.270 0.309 0.539
12 Te 0.720 0.696 0.958
13 Te 0.280 0.304 0.042
14 Te 0.730 0.691 0.461
15 Te 0.762 0.304 0.523
16 Te 0.762 0.304 0.042



3.
# Cs4Ac3SmTe8

A relaxed Cs4Ac3SmTe8 crystal (PBE, Alexandria via LeMat-Bulk).

Symmetry: No. 166
Electronic total energy, eV per cell: -69.19
Total magnetization, μB per atom: 0.000
Formation energy without anion corrections, kJ per mole of atoms: -142.3

abc: 9.680 10.579 9.680
angles: 117.23 120.00 90.00
Atoms (fractional coordinates):
1 Cs 0.500 0.000 0.000
2 Cs 0.500 0.000 0.500
3 Cs 0.000 0.000 0.000
4 Cs 0.000 0.000 0.500
5 Ac 0.500 0.500 0.000
6 Ac 0.500 0.500 0.500
7 Ac 0.000 0.500 0.500
8 Sm 0.000 0.500 0.000
9 Te 0.226 0.698 0.971
10 Te 0.226 0.698 0.453
11 Te 0.265 0.296 0.531
12 Te 0.745 0.698 0.971
13 Te 0.255 0.302 0.029
14 Te 0.735 0.704 0.469
15 Te 0.774 0.302 0.547
16 Te 0.774 0.302 0.029



4.
# CsAcSn

A relaxed CsAcSn crystal (PBE, Alexandria via LeMat-Bulk).

Symmetry: No. 156
Electronic total energy, eV per cell: -9.06
Total magnetization, μB per atom: 0.000
Formation energy, eV/f.u.: -0.1

abc: 6.890 5.380 5.380
angles: 120.00 90.00 90.00
Atoms (fractional coordinates):
1 Cs 0.713 0.667 0.333
2 Ac 0.216 0.333 0.667
3 Sn 0.071 0.000 0.000



5.
# CsAcSn4

A relaxed CsAcSn4 crystal (PBE, Alexandria via LeMat-Bulk).

Symmetry: No. 216
Electronic total energy, eV per cell: -22.81
Total magnetization, μB per atom: 0.000
Formation energy, eV/f.u.: -1.8

abc: 6.511 6.511 6.511
angles: 60.00 60.00 60.00
Atoms (fractional coordinates):
1 Cs 0.000 0.000 0.000
2 Ac 0.250 0.250 0.250
3 Sn 0.623 0.623 0.130
4 Sn 0.623 0.130 0.623
5 Sn 0.623 0.623 0.623
6 Sn 0.130 0.623 0.623



6.
# CsAcSn

A relaxed CsAcSn crystal (PBE, Alexandria via LeMat-Bulk).

Symmetry: No. 107
Electronic total energy, eV per cell: -9.41
Total magnetization, μB per atom: 0.001
Formation energy, eV/f.u.: -0.4

abc: 4.547 4.547 8.137
angles: 106.22 106.22 90.00
Atoms (fractional coordinates):
1 Cs 0.019 0.019 0.039
2 Ac 0.273 0.273 0.545
3 Sn 0.708 0.708 0.416



7.
# CsAcSn2

A relaxed CsAcSn2 crystal (PBE, Alexandria via LeMat-Bulk).

Symmetry: No. 123
Electronic total energy, eV per cell: -14.64
Total magnetization, μB per atom: 0.000
Formation energy, eV/f.u.: -1.7

abc: 4.496 4.496 8.437
angles: 90.00 90.00 90.00
Atoms (fractional coordinates):
1 Cs 0.500 0.500 0.500
2 Ac 0.500 0.500 0.000
3 Sn 0.000 0.000 0.826
4 Sn 0.000 0.000 0.174



8.
# CsAc2Sn

A relaxed CsAc2Sn crystal (PBE, Alexandria via LeMat-Bulk).

Symmetry: No. 123
Electronic total energy, eV per cell: -13.53
Total magnetization, μB per atom: 0.004
Formation energy, eV/f.u.: -0.5

abc: 4.291 4.291 11.225
angles: 90.00 90.00 90.00
Atoms (fractional coordinates):
1 Cs 0.500 0.500 0.500
2 Ac 0.000 0.000 0.848
3 Ac 0.000 0.000 0.152
4 Sn 0.500 0.500 0.000



9.
# CsAcSn

A relaxed CsAcSn crystal (PBE, Alexandria via LeMat-Bulk).

Symmetry: No. 139
Electronic total energy, eV per cell: -19.95
Total magnetization, μB per atom: 0.048
Formation energy, eV/f.u.: -1.0

abc: 4.631 4.631 15.663
angles: 98.50 98.50 90.00
Atoms (fractional coordinates):
1 Ac 0.289 0.289 0.578
2 Ac 0.711 0.711 0.422
3 Sn 0.176 0.176 0.352
4 Sn 0.824 0.824 0.648
5 Cs 0.587 0.587 0.174
6 Cs 0.413 0.413 0.826



10.
# CsAcSn2

A relaxed CsAcSn2 crystal (PBE, Alexandria via LeMat-Bulk).

Symmetry: No. 225
Electronic total energy, eV per cell: -13.39
Total magnetization, μB per atom: 0.000
Formation energy, eV/f.u.: -0.4

abc: 5.996 5.996 5.997
angles: 60.00 60.00 60.00
Atoms (fractional coordinates):
1 Cs 0.000 0.000 0.000
2 Ac 0.500 0.500 0.500
3 Sn 0.750 0.750 0.750
4 Sn 0.250 0.250 0.250



11.
# CsAcSnTe3

A relaxed CsAcSnTe3 crystal (PBE, Alexandria via LeMat-Bulk).

Symmetry: No. 11
Electronic total energy, eV per cell: -49.66
Total magnetization, μB per atom: 0.000
Formation energy without anion corrections, kJ per mole of atoms: -103.6

abc: 4.674 10.042 12.750
angles: 108.42 90.00 90.00
Atoms (fractional coordinates):
1 Cs 0.250 0.245 0.284
2 Cs 0.750 0.755 0.716
3 Ac 0.250 0.649 0.156
4 Ac 0.750 0.351 0.844
5 Sn 0.250 0.123 0.557
6 Sn 0.750 0.877 0.443
7 Te 0.750 0.904 0.224
8 Te 0.250 0.096 0.776
9 Te 0.250 0.676 0.426
10 Te 0.750 0.324 0.574
11 Te 0.750 0.405 0.114
12 Te 0.250 0.595 0.886



12.
# Cs2AcSnTe4

A relaxed Cs2AcSnTe4 crystal (PBE, Alexandria via LeMat-Bulk).

Symmetry: No. 74
Electronic total energy, eV per cell: -59.88
Total magnetization, μB per atom: 0.000
Formation energy without anion corrections, kJ per mole of atoms: -91.1

abc: 9.981 9.981 10.006
angles: 120.09 120.09 90.18
Atoms (fractional coordinates):
1 Cs 0.500 0.000 0.000
2 Cs 0.500 0.000 0.500
3 Cs 0.000 0.000 0.500
4 Cs 0.500 0.500 0.000
5 Ac 0.000 0.500 0.000
6 Ac 0.000 0.500 0.500
7 Sn 0.500 0.500 0.500
8 Sn 0.000 0.000 0.000
9 Te 0.200 0.744 0.972
10 Te 0.756 0.300 0.528
11 Te 0.244 0.700 0.472
12 Te 0.800 0.256 0.028
13 Te 0.763 0.737 0.952
14 Te 0.763 0.737 0.548
15 Te 0.237 0.263 0.452
16 Te 0.237 0.263 0.048